Here is a relaxed AcScTlAg crystal from the Alexandria database. Energies are from GGA-PBE.

## Properties
The formation enthalpy at 0 K is -0.197 eV/atom. The value obtained for the density of states at the Fermi level is 14.7 states/eV per cell. Its crystal system is cubic. Its total moment is 0.07 μB per atom.

```
data_AcScTlAg
_symmetry_space_group_name_H-M 'F -4 3 m'
_symmetry_Int_Tables_number 216
_symmetry_space_group_name_Hall 'F -4 2 3'
_cell_length_a 7.661
_cell_length_b 7.661
_cell_length_c 7.661
_cell_angle_alpha 90.00
_cell_angle_beta 90.00
_cell_angle_gamma 90.00
loop_
_atom_site_label
_atom_site_fract_x
_atom_site_fract_y
_atom_site_fract_z
Ac1 0.000 0.000 0.000
Sc1 0.000 0.000 0.500
Tl1 0.250 0.250 0.250
Ag1 0.250 0.250 0.750
```